This record from the Alexandria database describes a crystal of ZrAlN3 relaxed with PBEsol. The functional is meta-GGA SCAN.

Geometry as POSCAR:
```
ZrAlN3
1.0
3.683 0.000 0.000
0.000 3.683 0.000
0.000 0.000 3.683
Zr N Al
1 3 1
Direct
0.500 0.500 0.500
0.000 0.500 0.000
0.000 0.000 0.500
0.500 0.000 0.000
0.000 0.000 0.000
```

Results
Symmetry = No. 221

***

This record from the Alexandria database describes a crystal of ZrAl3N relaxed with PBEsol. The functional is meta-GGA SCAN.

Geometry as POSCAR:
```
ZrAl3N
1.0
4.169 0.000 0.000
0.000 4.169 0.000
0.000 0.000 4.169
Al Zr N
3 1 1
Direct
0.000 0.500 0.000
0.000 0.000 0.500
0.500 0.000 0.000
0.500 0.500 0.500
0.000 0.000 0.000
```

Results
Symmetry = No. 221

***

| no. | uncorrected energy (eV per atom) |
| --- | --- |
| 1 | -13.67 |
| 2 | -12.77 |